Entry 1:
Crystalline Sb3PdPb at its relaxed geometry, computed with PBE-GGA.

## Properties
Total DFT energy (no corrections) = -3.005 eV per atom
Formation energy without anion corrections = 1.25 eV per atom
Energy above the most stable polymorph in this dataset = 1377 meV/atom

Unit cell a=5.725 b=5.725 c=5.725 alpha=90.00 beta=90.00 gamma=90.00
Atoms (fractional coordinates):
Pd (0.500, 0.500, 0.500)
Sb (0.000, 0.000, 0.500)
Sb (0.000, 0.500, 0.000)
Sb (0.500, 0.000, 0.000)
Pb (0.000, 0.000, 0.000)

---

Entry 2:
Crystalline ScAs2Os at its relaxed geometry, computed with PBE-GGA.

## Properties
DFT formation energy = -48 kJ/mol of formula units
Total DFT energy (no corrections) = -6.840 eV per atom
Energy above the most stable polymorph in this dataset = 291 meV/atom

Unit cell a=3.193 b=5.571 c=5.412 alpha=45.68 beta=90.00 gamma=90.00
Atoms (fractional coordinates):
As (0.000, 0.000, 0.000)
As (0.500, 0.500, 0.000)
Sc (0.000, 0.000, 0.500)
Os (0.500, 0.500, 0.500)

---

Entry 3:
Crystalline CaInGe at its relaxed geometry, computed with PBE-GGA.

## Properties
DFT formation energy = -109 kJ/mol of formula units
Total DFT energy (no corrections) = -3.496 eV per atom

Unit cell a=4.570 b=4.471 c=4.471 alpha=120.00 beta=90.00 gamma=90.00
Atoms (fractional coordinates):
Ca (0.688, 0.667, 0.333)
In (0.250, 0.333, 0.667)
Ge (0.061, 0.000, 0.000)

---

Entry 4:
Crystalline Sc2PbO at its relaxed geometry, computed with PBE-GGA.

## Properties
Total DFT energy (no corrections) = -6.897 eV per atom
Formation energy without anion corrections = -1.56 eV per atom
Energy above the most stable polymorph in this dataset = 155 meV/atom

Unit cell a=6.567 b=6.567 c=6.002 alpha=56.83 beta=56.83 gamma=90.00
Atoms (fractional coordinates):
Sc (0.375, 0.496, 0.750)
Sc (0.246, 0.625, 0.250)
Sc (0.504, 0.125, 0.250)
Sc (0.875, 0.754, 0.750)
O (0.500, 0.500, 0.000)
O (0.250, 0.750, 0.500)
Pb (0.750, 0.250, 0.500)
Pb (0.000, 0.000, 0.000)

---

Entry 5:
Crystalline MnC5 at its relaxed geometry, computed with PBE-GGA.

## Properties
DFT formation energy = 1257 kJ/mol of formula units
Total DFT energy (no corrections) = -7.043 eV per atom
Energy above the most stable polymorph in this dataset = 1281 meV/atom

Unit cell a=3.243 b=3.243 c=5.325 alpha=90.00 beta=90.00 gamma=90.00
Atoms (fractional coordinates):
C (0.000, 0.000, 0.754)
C (0.500, 0.500, 0.627)
C (0.000, 0.000, 0.246)
C (0.500, 0.500, 0.373)
C (0.000, 0.000, 0.500)
Mn (0.500, 0.500, 0.000)

---

Entry 6:
Crystalline La2TiN at its relaxed geometry, computed with PBE-GGA.

## Properties
Total DFT energy (no corrections) = -6.580 eV per atom
Formation energy without anion corrections = -0.06 eV per atom

Unit cell a=7.269 b=7.269 c=6.709 alpha=57.20 beta=57.20 gamma=90.00
Atoms (fractional coordinates):
La (0.875, 0.768, 0.750)
La (0.375, 0.482, 0.750)
La (0.518, 0.125, 0.250)
La (0.232, 0.625, 0.250)
Ti (0.000, 0.000, 0.000)
Ti (0.750, 0.250, 0.500)
N (0.500, 0.500, 0.000)
N (0.250, 0.750, 0.500)